No. 1
Crystalline Pm2NdEr9 at its relaxed geometry. Source: the Alexandria database, functional PBE.

The structure in POSCAR format:
```
Pm2NdEr9
1.0
11.207 0.000 0.000
-5.604 9.706 0.000
0.000 0.000 3.507
Pm Nd Er
2 1 9
direct
0.333 0.667 0.000 Pm
0.667 0.333 0.000 Pm
0.000 0.000 0.000 Nd
0.000 0.500 0.000 Er
0.176 0.353 0.500 Er
0.176 0.824 0.500 Er
0.353 0.176 0.500 Er
0.500 0.000 0.000 Er
0.500 0.500 0.000 Er
0.647 0.824 0.500 Er
0.824 0.176 0.500 Er
0.824 0.647 0.500 Er
```

Values from the calculation:
DOS(E_F) (states/eV/f.u.): 18.364
Uncorrected energy (eV per atom): -4.554
Space-group type: P6/mmm, No. 191


No. 2
Crystalline PmNd10Er6 at its relaxed geometry. Source: the Alexandria database, functional PBE.

The structure in POSCAR format:
```
PmNd10Er6
1.0
9.847 0.000 0.000
-4.923 8.528 0.000
0.000 0.000 6.912
Pm Nd Er
1 10 6
direct
0.000 0.000 0.000 Pm
0.000 0.278 0.320 Nd
0.000 0.722 0.680 Nd
0.278 0.000 0.320 Nd
0.278 0.278 0.680 Nd
0.333 0.667 0.000 Nd
0.333 0.667 0.500 Nd
0.667 0.333 0.000 Nd
0.667 0.333 0.500 Nd
0.722 0.000 0.680 Nd
0.722 0.722 0.320 Nd
0.000 0.369 0.813 Er
0.000 0.631 0.187 Er
0.369 0.000 0.813 Er
0.369 0.369 0.187 Er
0.631 0.000 0.187 Er
0.631 0.631 0.813 Er
```

Values from the calculation:
DOS(E_F) (states/eV/f.u.): 26.135
Uncorrected energy (eV per atom): -4.563
Space-group type: P-31m, No. 162


No. 3
Crystalline Pm4NdEr7 at its relaxed geometry. Source: the Alexandria database, functional PBE.

The structure in POSCAR format:
```
Pm4NdEr7
1.0
6.871 0.000 0.000
1.764 6.777 0.000
1.938 1.306 8.348
Pm Nd Er
4 1 7
direct
0.154 0.273 0.317 Pm
0.316 0.894 0.665 Pm
0.684 0.106 0.335 Pm
0.846 0.727 0.683 Pm
0.500 0.500 0.000 Nd
0.016 0.249 0.978 Er
0.175 0.768 0.327 Er
0.324 0.391 0.639 Er
0.500 0.000 0.000 Er
0.676 0.609 0.361 Er
0.825 0.232 0.673 Er
0.984 0.751 0.022 Er
```

Values from the calculation:
DOS(E_F) (states/eV/f.u.): 17.589
Uncorrected energy (eV per atom): -4.565
Space-group type: P-1, No. 2